Record 1
Sm2CuI PBE-GGA optimized geometry; formation energy without anion corrections = -0.374 eV per atom; total energy = -16.6 eV/cell; DOS at the Fermi energy = 4.31 states/eV/f.u.; relative energy among the computed polymorphs = 0.120 eV per atom
1.0
3.5887 0.0000 0.0000
0.0000 3.5887 0.0000
0.0000 0.0000 8.2931
Sm Cu I
2 1 1
direct
0.0000 0.0000 0.2153
0.0000 0.0000 0.7847
0.5000 0.5000 0.0000
0.5000 0.5000 0.5000

---

Record 2
Sm4CuI5 PBE-GGA optimized geometry; formation energy without anion corrections = -1.015 eV per atom; total energy = -40.9 eV/cell; DOS at the Fermi energy = 6.27 states/eV/f.u.
1.0
9.6642 -2.0849 0.0000
9.6642 2.0849 0.0000
-1.9600 0.0000 8.8521
Sm Cu I
4 1 5
direct
0.9999 0.9999 0.2114
0.0001 0.0001 0.7886
0.3519 0.3519 0.9261
0.6481 0.6481 0.0739
0.5000 0.5000 0.0000
0.1675 0.1675 0.3434
0.1744 0.1744 0.8213
0.5000 0.5000 0.5000
0.8256 0.8256 0.1787
0.8325 0.8325 0.6566

---

Record 3
Sm2CuI PBE-GGA optimized geometry; formation energy without anion corrections = -0.491 eV per atom; total energy = -17.0 eV/cell; DOS at the Fermi energy = 4.16 states/eV/f.u.; relative energy among the computed polymorphs = 0.003 eV per atom
1.0
2.0602 1.1895 7.9297
-2.0602 1.1895 7.9297
0.0000 -2.3789 7.9297
Sm Cu I
2 1 1
direct
0.0000 0.0000 0.0000
0.2004 0.2004 0.2004
0.5997 0.5997 0.5997
0.7675 0.7675 0.7675